[1]
{
  "formula": "K3TlRu2O9",
  "functional": "GGA-PBE",
  "state": "optimized geometry",
  "lattice": [[-5.009, -1.037, 2.547], [0.379, -0.088, -5.701], [1.561, -7.020, 0.212]],
  "species": ["Ru", "Ru", "Tl", "O", "O", "O", "O", "O", "O", "O", "O", "O", "K", "K", "K"],
  "fractional_positions": [[0.333, 0.667, 0.153], [0.667, 0.333, 0.847], [0.000, 0.000, 0.500], [0.000, 0.500, 0.000], [0.500, 0.500, 0.000], [0.647, 0.824, 0.305], [0.500, 0.000, 0.000], [0.176, 0.824, 0.305], [0.353, 0.176, 0.695], [0.824, 0.176, 0.695], [0.176, 0.353, 0.305], [0.824, 0.647, 0.695], [0.000, 0.000, 0.000], [0.667, 0.333, 0.335], [0.333, 0.667, 0.665]],
  "raw_formation_energy_mev_per_atom": -998,
  "n_ef_per_ev_cell": 6.1
}



[2]
{
  "formula": "KTlRuO4",
  "functional": "GGA-PBE",
  "state": "optimized geometry",
  "lattice": [[7.102, 0.000, -0.688], [0.000, 6.236, 0.000], [-3.477, 0.000, 8.074]],
  "species": ["O", "O", "O", "O", "O", "O", "O", "O", "Tl", "Tl", "K", "K", "Ru", "Ru"],
  "fractional_positions": [[0.311, 0.750, 0.200], [0.467, 0.750, 0.583], [0.071, 0.981, 0.336], [0.533, 0.250, 0.417], [0.929, 0.481, 0.664], [0.689, 0.250, 0.800], [0.071, 0.519, 0.336], [0.929, 0.019, 0.664], [0.142, 0.250, 0.141], [0.858, 0.750, 0.859], [0.750, 0.750, 0.373], [0.250, 0.250, 0.627], [0.242, 0.750, 0.371], [0.758, 0.250, 0.629]],
  "raw_formation_energy_mev_per_atom": -1044
}



[3]
{
  "formula": "KTlRu2O6",
  "functional": "GGA-PBE",
  "state": "optimized geometry",
  "lattice": [[7.916, -1.246, 0.271], [-2.206, 7.704, 0.271], [-1.439, -1.627, 7.543]],
  "species": ["K", "K", "O", "O", "O", "O", "O", "O", "O", "O", "O", "O", "O", "O", "Ru", "Ru", "Ru", "Ru", "Tl", "Tl"],
  "fractional_positions": [[0.623, 0.377, 0.250], [0.377, 0.623, 0.750], [0.383, 0.637, 0.100], [0.501, 0.023, 0.306], [0.236, 0.154, 0.627], [0.499, 0.977, 0.694], [0.764, 0.846, 0.373], [0.154, 0.236, 0.127], [0.617, 0.363, 0.900], [0.846, 0.764, 0.873], [0.977, 0.499, 0.194], [0.637, 0.383, 0.600], [0.023, 0.501, 0.806], [0.363, 0.617, 0.400], [0.468, 0.181, 0.697], [0.532, 0.819, 0.303], [0.819, 0.532, 0.803], [0.181, 0.468, 0.197], [0.927, 0.073, 0.750], [0.073, 0.927, 0.250]],
  "raw_formation_energy_mev_per_atom": -910,
  "n_ef_per_ev_cell": 0.9
}



[4]
{
  "formula": "KTlRu2O8",
  "functional": "GGA-PBE",
  "state": "optimized geometry",
  "lattice": [[-2.941, -4.681, 0.143], [2.219, -3.397, 3.757], [-5.190, 3.291, 6.241]],
  "species": ["O", "O", "O", "O", "O", "O", "O", "O", "Ru", "Ru", "K", "Tl"],
  "fractional_positions": [[0.283, 0.739, 0.751], [0.299, 0.299, 0.925], [0.711, 0.711, 0.406], [0.739, 0.283, 0.751], [0.289, 0.289, 0.594], [0.261, 0.717, 0.249], [0.717, 0.261, 0.249], [0.701, 0.701, 0.075], [0.598, 0.598, 0.247], [0.402, 0.402, 0.753], [0.000, 0.000, 0.500], [0.000, 0.000, 0.000]],
  "raw_formation_energy_mev_per_atom": -936,
  "n_ef_per_ev_cell": 9.7
}



[5]
{
  "formula": "KTl2RuO4",
  "functional": "GGA-PBE",
  "state": "optimized geometry",
  "lattice": [[-4.814, 2.623, -2.971], [-1.001, -4.413, 4.290], [3.268, 3.287, 4.171]],
  "species": ["O", "O", "O", "O", "K", "Ru", "Tl", "Tl"],
  "fractional_positions": [[0.378, 0.781, 0.778], [0.003, 0.222, 0.600], [0.622, 0.400, 0.403], [0.997, 0.597, 0.219], [0.500, 0.250, 0.750], [0.000, 0.500, 0.500], [0.000, 0.000, 0.000], [0.500, 0.750, 0.250]],
  "raw_formation_energy_mev_per_atom": -857,
  "n_ef_per_ev_cell": 1.2
}



[6]
{
  "formula": "K2Tl3RuO6",
  "functional": "GGA-PBE",
  "state": "optimized geometry",
  "lattice": [[6.556, -0.102, 0.077], [-3.365, 5.628, 0.077], [-0.996, -1.724, 5.752]],
  "species": ["O", "O", "O", "O", "O", "O", "K", "K", "Ru", "Tl", "Tl", "Tl"],
  "fractional_positions": [[0.302, 0.066, 0.191], [0.066, 0.302, 0.191], [0.182, 0.182, 0.781], [0.934, 0.698, 0.809], [0.698, 0.934, 0.809], [0.818, 0.818, 0.219], [0.330, 0.670, 0.000], [0.670, 0.330, 0.000], [0.000, 0.000, 0.000], [0.849, 0.151, 0.500], [0.151, 0.849, 0.500], [0.500, 0.500, 0.500]],
  "raw_formation_energy_mev_per_atom": -966,
  "n_ef_per_ev_cell": 2.7
}



Raw total energy across the listed records, respectively: -5.59, -5.70, -6.09, -6.08, -5.22, -4.99 eV per atom.